Entry 1:
NaLi2Cl2: optimized geometry, PBE.

Summary:
Electronic total energy: -3.075 eV/atom
Volume: 178.8 Å³/f.u.
Raw formation energy: -1.307 eV per atom

a b c (Å): 4.167 4.167 10.713
angles (deg): 78.79 78.79 90.00
Atoms (fractional coordinates):
1 Li 0.750 0.250 0.500
2 Li 0.250 0.750 0.500
3 Na 0.000 0.000 0.000
4 Cl 0.695 0.695 0.609
5 Cl 0.305 0.305 0.391



Entry 2:
TlHgSeBr2: optimized geometry, PBE.

Summary:
Electronic total energy: -2.086 eV/atom
Volume: 170.4 Å³/f.u.
Energy above the lowest structure with this stoichiometry: 0.000 eV per atom
Raw formation energy: -0.186 eV per atom

a b c (Å): 5.684 5.684 5.276
angles (deg): 90.00 90.00 90.00
Each line ends with the local moment (μB).
Atoms (fractional coordinates):
1 Tl 0.500 0.500 0.500  0.00
2 Br 0.500 0.000 0.000  0.05
3 Br 0.000 0.500 0.000  0.05
4 Se 0.000 0.000 0.500  0.33
5 Hg 0.000 0.000 0.000  0.00



Entry 3:
ZnSnSe2: optimized geometry, PBE.

Summary:
Electronic total energy: -3.464 eV/atom
Volume: 120.1 Å³/f.u.
Raw formation energy: -0.403 eV per atom

a b c (Å): 6.514 6.514 7.298
angles (deg): 63.49 63.49 90.00
Atoms (fractional coordinates):
1 Se 0.375 0.431 0.750
2 Se 0.569 0.125 0.250
3 Se 0.181 0.625 0.250
4 Se 0.875 0.819 0.750
5 Zn 0.250 0.750 0.500
6 Zn 0.500 0.500 0.000
7 Sn 0.000 0.000 0.000
8 Sn 0.750 0.250 0.500



Entry 4:
Pm2PuN2: optimized geometry, PBE.

Summary:
Electronic total energy: -9.106 eV/atom
Volume: 97.5 Å³/f.u.
Raw formation energy: -1.009 eV per atom

a b c (Å): 5.140 6.194 7.896
angles (deg): 59.47 71.00 65.49
Each line ends with the local moment (μB).
Atoms (fractional coordinates):
1 Pm 0.334 0.751 0.580  0.11
2 Pm 0.004 0.732 0.260  0.12
3 Pm 0.666 0.249 0.420  0.11
4 Pm 0.996 0.268 0.740  0.12
5 Pu 0.663 0.767 0.908  5.13
6 Pu 0.337 0.233 0.092  5.13
7 N 0.169 0.252 0.410  -0.05
8 N 0.492 0.783 0.233  -0.11
9 N 0.508 0.217 0.767  -0.11
10 N 0.831 0.748 0.590  -0.05



Entry 5:
MgGa6Tc: optimized geometry, PBE.

Summary:
Electronic total energy: -3.820 eV/atom
Volume: 133.7 Å³/f.u.
Formation energy from the elements: -55 meV/atom

a b c (Å): 4.751 6.586 6.608
angles (deg): 69.97 96.59 50.68
Atoms (fractional coordinates):
1 Tc 0.000 0.000 0.000
2 Ga 0.246 0.256 0.775
3 Ga 0.847 0.905 0.641
4 Ga 0.390 0.378 0.127
5 Ga 0.153 0.095 0.359
6 Ga 0.610 0.622 0.873
7 Ga 0.754 0.744 0.225
8 Mg 0.500 0.500 0.500



Entry 6:
FePt2Rh: optimized geometry, PBE.

Summary:
Electronic total energy: -7.085 eV/atom
Volume: 58.3 Å³/f.u.
Formation energy from the elements: -111 meV/atom

a b c (Å): 2.739 3.817 5.573
angles (deg): 90.00 90.00 90.00
Each line ends with the local moment (μB).
Atoms (fractional coordinates):
1 Fe 0.500 0.500 0.746  3.03
2 Rh 0.000 0.000 0.508  0.20
3 Pt 0.500 0.500 0.258  0.04
4 Pt 0.000 0.000 0.989  0.20